The following is a PBE calculation of AlV3Fe after structural relaxation, from Alexandria.

Properties
SG: Pm-3m (221)
Calculated volume, Å³/cell: 87
Energy, eV/cell: -32.29

a = 4.4254 Å, b = 4.4254 Å, c = 4.4254 Å
α = 90.00°, β = 90.00°, γ = 90.00°
Element x y z (fractional)
Fe: 0.5000 0.5000 0.5000
Al: 0.0000 0.0000 0.0000
V: 0.0000 0.5000 0.0000
V: 0.0000 0.0000 0.5000
V: 0.5000 0.0000 0.0000